Material: Li2AlVO4
Method: DFT, PBE+U
State: relaxed

N(E_F) = 0.0000 states/eV per atom
electronic total energy = -107.14 eV for the cell shown
excess energy over the best structure of this formula in the dataset = 5.8 kJ per mole of atoms
magnetic moment = 0.25 μB/atom
V = 178.8 Å³/cell

a = 4.974 Å, b = 5.553 Å, c = 8.160 Å
α = 90.00°, β = 127.50°, γ = 90.00°
Space group Pc (No. 7)
One atom of each set of equivalent atoms:
Li 0.000 0.159 0.000 x2
Li 0.748 0.324 0.247 x2
Al 0.507 0.168 0.498 x2
V 0.254 0.336 0.753 x2
O 0.177 0.327 0.272 x2
O 0.396 0.139 0.990 x2
O 0.620 0.318 0.726 x2
O 0.874 0.181 0.507 x2